# 1
An optimized crystal structure of SiMo2. Source: Alexandria, functional PBE.

Output
Crystal system: hexagonal
Magnetic moment in μB per formula unit: 0.0
Calculated density in g cm⁻³: 8.25
Offset from the most stable computed form in eV per atom: 0.046
Energy relative to the elements, uncorrected in eV per atom: -0.281
Electronic total energy in eV per atom: -9.3095

a b c (Å): 6.9297 6.9297 3.1942
angles (deg): 90.00 90.00 120.00
With the nearest neighbours (Å) after each atom.
Positions (direct):
Si 0.0000 0.0000 0.0000  6 Mo 2.44
Si 0.3333 0.6667 0.5000  9 Mo 2.58-2.66
Si 0.6667 0.3333 0.5000  9 Mo 2.58-2.66
Mo 0.0000 0.2658 0.5000  4 Si 2.44-2.58
Mo 0.0000 0.6031 0.0000  5 Si 2.66-2.75, 6 Mo 2.83-2.91
Mo 0.2658 0.0000 0.5000  4 Si 2.44-2.58
Mo 0.3969 0.3969 0.0000  5 Si 2.66-2.75, 6 Mo 2.83-2.91
Mo 0.6031 0.0000 0.0000  5 Si 2.66-2.75, 6 Mo 2.83-2.91
Mo 0.7342 0.7342 0.5000  4 Si 2.44-2.58

---

# 2
An optimized crystal structure of Ho8ZnCu2. Source: Alexandria, functional PBE.

Output
Crystal system: monoclinic
Magnetic moment in μB per formula unit: 0.0
Calculated density in g cm⁻³: 8.58
Offset from the most stable computed form in eV per atom: 0.136
Electronic total energy in eV per atom: -4.1911
E_form in kJ per mole of atoms: -0.1

a b c (Å): 7.9557 7.9557 5.3685
angles (deg): 99.19 99.19 115.52
With the nearest neighbours (Å) after each atom.
Positions (direct):
Ho 0.0000 0.0000 0.0000  2 Cu 3.09, 1 Zn 3.11, 4 Ho 3.24-3.42
Ho 0.0484 0.2976 0.5929  2 Cu 2.82-2.97
Ho 0.1539 0.6118 0.1922  2 Cu 2.87-2.88, 1 Zn 3.08
Ho 0.2976 0.0484 0.5929  2 Cu 2.82-2.97
Ho 0.4696 0.7190 0.7882  2 Cu 2.82-2.97
Ho 0.6118 0.1539 0.1922  2 Cu 2.87-2.88, 1 Zn 3.08
Ho 0.7190 0.4696 0.7882  2 Cu 2.82-2.97
Ho 0.7690 0.7690 0.3845  2 Cu 3.10, 1 Zn 3.12, 4 Ho 3.24-3.41
Zn 0.3838 0.3838 0.2161  4 Ho 3.08-3.12
Cu 0.0791 0.6898 0.6932  8 Ho 2.82-3.10
Cu 0.6898 0.0791 0.6932  8 Ho 2.82-3.10

---

# 3
An optimized crystal structure of In2BPtN. Source: Alexandria, functional PBE.

Output
Crystal system: tetragonal
Magnetic moment in μB per formula unit: 0.0
Calculated density in g cm⁻³: 9.06
Energy relative to the elements, uncorrected in eV per atom: 0.039
Electronic total energy in eV per atom: -5.2650

a b c (Å): 5.4765 5.4765 2.7484
angles (deg): 90.00 90.00 90.00
With the nearest neighbours (Å) after each atom.
Positions (direct):
In 0.0000 0.5000 0.0000  2 B 2.74, 2 In 2.75, 4 Pt 3.06, 4 N 3.06
In 0.5000 0.0000 0.0000  2 B 2.74, 2 In 2.75, 4 Pt 3.06, 4 N 3.06
B 0.0000 0.0000 0.0000  2 N 1.37
Pt 0.5000 0.5000 0.5000  2 Pt 2.75, 8 In 3.06
N 0.0000 0.0000 0.5000  2 B 1.37